Record 1
BaAl4: relaxed, GGA-PBE.

Calculated volume (Å³/cell): 210.1
Formation energy from the elements (eV per atom): 1.57
Polymorph energy (0 for the lowest one) (kJ/mol of formula units): 872.9

Geometry as CIF:
```
data_BaAl4
_chemical_formula_sum 'Ba1 Al4'
_cell_length_a 5.945
_cell_length_b 5.945
_cell_length_c 5.945
_cell_angle_alpha 90.00
_cell_angle_beta 90.00
_cell_angle_gamma 90.00
_symmetry_space_group_name_H-M 'P m -3 m'
_symmetry_Int_Tables_number 221
_symmetry_space_group_name_Hall '-P 4 2 3'
loop_
_atom_site_label
_atom_site_fract_x
_atom_site_fract_y
_atom_site_fract_z
Ba1 0.000 0.000 0.000
Al1 0.000 0.000 0.500
Al2 0.500 0.500 0.500
```

=====

Record 2
Ca6Ge2H: relaxed, GGA-PBE.

Calculated volume (Å³/cell): 503.3
E_tot (eV for the cell shown): -57.260

Geometry as CIF:
```
data_Ca6Ge2H
_chemical_formula_sum 'Ca12 Ge4 H2'
_cell_length_a 6.651
_cell_length_b 7.894
_cell_length_c 11.652
_cell_angle_alpha 90.00
_cell_angle_beta 124.65
_cell_angle_gamma 90.00
_symmetry_space_group_name_H-M 'P 1 21/c 1'
_symmetry_Int_Tables_number 14
_symmetry_space_group_name_Hall '-P 2ybc'
loop_
_atom_site_label
_atom_site_fract_x
_atom_site_fract_y
_atom_site_fract_z
Ca1 0.115 0.175 0.441
Ca2 0.271 0.676 0.441
Ca3 0.363 0.031 0.249
Ge1 0.207 0.113 0.748
H1 0.500 0.000 0.500
```

=====

Record 3
HfIn2Sb: relaxed, GGA-PBE.

Calculated volume (Å³/cell): 414.3
Formation energy without anion corrections (meV/atom): 197

Geometry as CIF:
```
data_HfIn2Sb
_chemical_formula_sum 'Hf4 In8 Sb4'
_cell_length_a 8.328
_cell_length_b 8.328
_cell_length_c 5.974
_cell_angle_alpha 90.00
_cell_angle_beta 90.00
_cell_angle_gamma 90.00
_symmetry_space_group_name_H-M 'I -4 2 d'
_symmetry_Int_Tables_number 122
_symmetry_space_group_name_Hall 'I -4 2bw'
loop_
_atom_site_label
_atom_site_fract_x
_atom_site_fract_y
_atom_site_fract_z
Hf1 0.000 0.000 0.000
In1 0.248 0.750 0.125
Sb1 0.000 0.000 0.500
```

=====

Record 4
Rb2PaHgTe5: relaxed, GGA-PBE.

Calculated volume (Å³/cell): 1507.9
Formation energy without anion corrections (meV/atom): -698

Geometry as CIF:
```
data_Rb2PaHgTe5
_chemical_formula_sum 'Rb8 Pa4 Hg4 Te20'
_cell_length_a 4.419
_cell_length_b 22.185
_cell_length_c 15.383
_cell_angle_alpha 90.00
_cell_angle_beta 90.00
_cell_angle_gamma 90.00
_symmetry_space_group_name_H-M 'C m c 21'
_symmetry_Int_Tables_number 36
_symmetry_space_group_name_Hall 'C 2c -2'
loop_
_atom_site_label
_atom_site_fract_x
_atom_site_fract_y
_atom_site_fract_z
Rb1 0.000 0.124 0.000
Rb2 0.000 0.133 0.630
Pa1 0.000 0.204 0.316
Hg1 0.000 0.447 0.739
Te1 0.000 0.067 0.355
Te2 0.000 0.299 0.950
Te3 0.000 0.304 0.681
Te4 0.000 0.334 0.318
Te5 0.000 0.499 0.081
```

=====

Record 5
Ac2InHg3: relaxed, GGA-PBE.

Calculated volume (Å³/cell): 379.6
Formation energy from the elements (eV per atom): -0.39
Polymorph energy (0 for the lowest one) (kJ/mol of formula units): 46.4

Geometry as CIF:
```
data_Ac2InHg3
_chemical_formula_sum 'Ac4 In2 Hg6'
_cell_length_a 4.502
_cell_length_b 4.738
_cell_length_c 17.800
_cell_angle_alpha 90.00
_cell_angle_beta 90.00
_cell_angle_gamma 90.00
_symmetry_space_group_name_H-M 'I m m 2'
_symmetry_Int_Tables_number 44
_symmetry_space_group_name_Hall 'I 2 -2'
loop_
_atom_site_label
_atom_site_fract_x
_atom_site_fract_y
_atom_site_fract_z
Ac1 0.000 0.000 0.000
Ac2 0.000 0.500 0.249
In1 0.000 0.000 0.584
Hg1 0.000 0.000 0.423
Hg2 0.000 0.500 0.667
Hg3 0.000 0.500 0.828
```

=====

Record 6
NbCrB: relaxed, GGA-PBE.

Calculated volume (Å³/cell): 147.7
Formation energy from the elements (eV per atom): -0.14
Polymorph energy (0 for the lowest one) (kJ/mol of formula units): 88.5

Geometry as CIF:
```
data_NbCrB
_chemical_formula_sum 'Nb4 Cr4 B4'
_cell_length_a 5.771
_cell_length_b 8.773
_cell_length_c 2.917
_cell_angle_alpha 90.00
_cell_angle_beta 90.00
_cell_angle_gamma 90.00
_symmetry_space_group_name_H-M 'C m m m'
_symmetry_Int_Tables_number 65
_symmetry_space_group_name_Hall '-C 2 2'
loop_
_atom_site_label
_atom_site_fract_x
_atom_site_fract_y
_atom_site_fract_z
Nb1 0.000 0.000 0.000
Nb2 0.000 0.500 0.500
Cr1 0.250 0.250 0.000
B1 0.000 0.223 0.500
```

=====

Record 7
Ce3Th: relaxed, GGA-PBE.

Calculated volume (Å³/cell): 223.6
Formation energy from the elements (eV per atom): 0.01
Polymorph energy (0 for the lowest one) (kJ/mol of formula units): 2.5

Geometry as CIF:
```
data_Ce3Th
_chemical_formula_sum 'Ce6 Th2'
_cell_length_a 4.833
_cell_length_b 4.833
_cell_length_c 9.573
_cell_angle_alpha 90.00
_cell_angle_beta 90.00
_cell_angle_gamma 90.00
_symmetry_space_group_name_H-M 'I 4/m m m'
_symmetry_Int_Tables_number 139
_symmetry_space_group_name_Hall '-I 4 2'
loop_
_atom_site_label
_atom_site_fract_x
_atom_site_fract_y
_atom_site_fract_z
Ce1 0.000 0.000 0.000
Ce2 0.000 0.500 0.250
Th1 0.000 0.000 0.500
```

=====

Record 8
UAlGaTc: relaxed, GGA-PBE.

Calculated volume (Å³/cell): 284.8
Formation energy from the elements (eV per atom): 0.03

Geometry as CIF:
```
data_UAlGaTc
_chemical_formula_sum 'U4 Al4 Ga4 Tc4'
_cell_length_a 6.580
_cell_length_b 6.580
_cell_length_c 6.580
_cell_angle_alpha 90.00
_cell_angle_beta 90.00
_cell_angle_gamma 90.00
_symmetry_space_group_name_H-M 'F -4 3 m'
_symmetry_Int_Tables_number 216
_symmetry_space_group_name_Hall 'F -4 2 3'
loop_
_atom_site_label
_atom_site_fract_x
_atom_site_fract_y
_atom_site_fract_z
U1 0.000 0.000 0.000
Al1 0.000 0.000 0.500
Ga1 0.250 0.250 0.250
Tc1 0.250 0.250 0.750
```

=====

Record 9
La5Cd2Ru: relaxed, GGA-PBE.

Calculated volume (Å³/cell): 505.7
Formation energy from the elements (eV per atom): -0.26

Geometry as CIF:
```
data_La5Cd2Ru
_chemical_formula_sum 'La10 Cd4 Ru2'
_cell_length_a 8.285
_cell_length_b 12.235
_cell_length_c 4.989
_cell_angle_alpha 90.00
_cell_angle_beta 90.00
_cell_angle_gamma 90.00
_symmetry_space_group_name_H-M 'P b a m'
_symmetry_Int_Tables_number 55
_symmetry_space_group_name_Hall '-P 2 2ab'
loop_
_atom_site_label
_atom_site_fract_x
_atom_site_fract_y
_atom_site_fract_z
La1 0.000 0.000 0.000
La2 0.137 0.302 0.000
La3 0.183 0.571 0.500
Cd1 0.076 0.834 0.500
Ru1 0.000 0.500 0.000
```

=====

Record 10
ScTlCd2: relaxed, GGA-PBE.

Calculated volume (Å³/cell): 189.5
Formation energy from the elements (eV per atom): -0.11
Polymorph energy (0 for the lowest one) (kJ/mol of formula units): 27.9

Geometry as CIF:
```
data_ScTlCd2
_chemical_formula_sum 'Sc2 Tl2 Cd4'
_cell_length_a 11.252
_cell_length_b 3.532
_cell_length_c 5.037
_cell_angle_alpha 90.00
_cell_angle_beta 108.76
_cell_angle_gamma 90.00
_symmetry_space_group_name_H-M 'C 1 2/m 1'
_symmetry_Int_Tables_number 12
_symmetry_space_group_name_Hall '-C 2y'
loop_
_atom_site_label
_atom_site_fract_x
_atom_site_fract_y
_atom_site_fract_z
Sc1 0.000 0.000 0.000
Tl1 0.000 0.500 0.500
Cd1 0.241 0.500 0.240
```

=====

Record 11
CdPd3: relaxed, GGA-PBE.

Calculated volume (Å³/cell): 131.3
Formation energy from the elements (eV per atom): -0.24

Geometry as CIF:
```
data_CdPd3
_chemical_formula_sum 'Cd2 Pd6'
_cell_length_a 5.7148
_cell_length_b 5.7148
_cell_length_c 4.6424
_cell_angle_alpha 90.00
_cell_angle_beta 90.00
_cell_angle_gamma 120.00
_symmetry_space_group_name_H-M 'P 63/m m c'
_symmetry_Int_Tables_number 194
_symmetry_space_group_name_Hall '-P 6c 2c'
loop_
_atom_site_label
_atom_site_fract_x
_atom_site_fract_y
_atom_site_fract_z
Cd1 0.3333 0.6667 0.2500
Pd1 0.1648 0.3295 0.7500
```

=====

Record 12
Tm5GaTe4: relaxed, GGA-PBE.

Calculated volume (Å³/cell): 556.7
Formation energy without anion corrections (meV/atom): -1130

Geometry as CIF:
```
data_Tm5GaTe4
_chemical_formula_sum 'Tm10 Ga2 Te8'
_cell_length_a 9.607
_cell_length_b 9.607
_cell_length_c 6.033
_cell_angle_alpha 90.00
_cell_angle_beta 90.00
_cell_angle_gamma 90.00
_symmetry_space_group_name_H-M 'I 4/m'
_symmetry_Int_Tables_number 87
_symmetry_space_group_name_Hall '-I 4'
loop_
_atom_site_label
_atom_site_fract_x
_atom_site_fract_y
_atom_site_fract_z
Tm1 0.000 0.000 0.000
Tm2 0.096 0.726 0.500
Ga1 0.000 0.000 0.500
Te1 0.091 0.694 0.000
```

=====

Record 13
SrZr2AlIn: relaxed, GGA-PBE.

Calculated volume (Å³/cell): 150.6
Formation energy from the elements (eV per atom): 0.49

Geometry as CIF:
```
data_SrZr2AlIn
_chemical_formula_sum 'Sr1 Zr2 Al1 In1'
_cell_length_a 5.163
_cell_length_b 5.163
_cell_length_c 5.650
_cell_angle_alpha 90.00
_cell_angle_beta 90.00
_cell_angle_gamma 90.00
_symmetry_space_group_name_H-M 'P 4/m m m'
_symmetry_Int_Tables_number 123
_symmetry_space_group_name_Hall '-P 4 2'
loop_
_atom_site_label
_atom_site_fract_x
_atom_site_fract_y
_atom_site_fract_z
Sr1 0.000 0.000 0.000
Zr1 0.000 0.500 0.500
Al1 0.000 0.000 0.500
In1 0.500 0.500 0.000
```

=====

Record 14
CaY2ScRu: relaxed, GGA-PBE.

Calculated volume (Å³/cell): 151.9
Formation energy from the elements (eV per atom): -0.14

Geometry as CIF:
```
data_CaY2ScRu
_chemical_formula_sum 'Ca1 Y2 Sc1 Ru1'
_cell_length_a 5.450
_cell_length_b 5.450
_cell_length_c 5.115
_cell_angle_alpha 90.00
_cell_angle_beta 90.00
_cell_angle_gamma 90.00
_symmetry_space_group_name_H-M 'P 4/m m m'
_symmetry_Int_Tables_number 123
_symmetry_space_group_name_Hall '-P 4 2'
loop_
_atom_site_label
_atom_site_fract_x
_atom_site_fract_y
_atom_site_fract_z
Ca1 0.000 0.000 0.000
Y1 0.000 0.500 0.500
Sc1 0.500 0.500 0.000
Ru1 0.500 0.500 0.500
```